No. 1
{"formula": "ScPtSe", "functional": "GGA-PBEsol", "state": "optimized geometry", "lattice": [[3.352, 0.000, 0.000], [-1.676, 2.903, 0.000], [0.000, 0.000, 5.947]], "species": ["Pt", "Sc", "Se"], "frac_coords": [[0.000, 0.000, 0.973], [0.667, 0.333, 0.674], [0.333, 0.667, 0.353]], "relative_energy_mev_per_atom": 299, "vol_a3_per_atom": 19.3, "energy_ev_per_atom": -6.462}


No. 2
{"formula": "Sc2PtSe", "functional": "GGA-PBEsol", "state": "optimized geometry", "lattice": [[3.325, 0.000, 0.000], [0.000, 3.325, 0.000], [0.000, 0.000, 6.553]], "species": ["Pt", "Sc", "Sc", "Se"], "frac_coords": [[0.500, 0.500, 0.500], [0.000, 0.000, 0.742], [0.000, 0.000, 0.258], [0.500, 0.500, 0.000]], "vol_a3_per_atom": 18.1, "energy_ev_per_atom": -7.199}


No. 3
{"formula": "ScPtSe", "functional": "GGA-PBEsol", "state": "optimized geometry", "lattice": [[-2.269, -2.300, -1.324], [1.823, -3.080, 2.227], [-3.193, 2.195, 1.660]], "species": ["Pt", "Sc", "Se"], "frac_coords": [[0.117, 0.000, 0.000], [0.669, 0.333, 0.667], [0.213, 0.667, 0.333]], "relative_energy_mev_per_atom": 0, "vol_a3_per_atom": 17.9, "energy_ev_per_atom": -6.761}


No. 4
{"formula": "Sc5Si7Pt9", "functional": "GGA-PBEsol", "state": "optimized geometry", "lattice": [[3.867, 0.000, 0.000], [0.000, 9.903, 0.000], [0.000, -4.951, 8.576]], "species": ["Sc", "Sc", "Sc", "Sc", "Sc", "Si", "Si", "Si", "Si", "Si", "Si", "Si", "Pt", "Pt", "Pt", "Pt", "Pt", "Pt", "Pt", "Pt", "Pt"], "frac_coords": [[0.000, 0.000, 0.000], [0.500, 0.667, 0.333], [0.500, 0.104, 0.563], [0.500, 0.437, 0.542], [0.500, 0.458, 0.896], [0.500, 0.760, 0.951], [0.500, 0.191, 0.240], [0.500, 0.049, 0.809], [0.000, 0.449, 0.095], [0.000, 0.646, 0.551], [0.000, 0.905, 0.354], [0.000, 0.333, 0.667], [0.500, 0.781, 0.718], [0.500, 0.936, 0.219], [0.500, 0.282, 0.064], [0.000, 0.687, 0.100], [0.000, 0.412, 0.313], [0.000, 0.900, 0.588], [0.000, 0.618, 0.789], [0.000, 0.171, 0.382], [0.000, 0.211, 0.829]], "vol_a3_per_atom": 15.6, "energy_ev_per_atom": -7.642}


No. 5
{"formula": "Sc3Si3Pt", "functional": "GGA-PBEsol", "state": "optimized geometry", "lattice": [[-2.382, -3.202, 0.183], [8.090, -6.071, -0.903], [1.144, -0.191, 11.541]], "species": ["Sc", "Sc", "Sc", "Sc", "Sc", "Sc", "Sc", "Sc", "Sc", "Sc", "Sc", "Sc", "Si", "Si", "Si", "Si", "Si", "Si", "Si", "Si", "Si", "Si", "Si", "Si", "Pt", "Pt", "Pt", "Pt"], "frac_coords": [[0.250, 0.876, 0.021], [0.250, 0.624, 0.521], [0.750, 0.124, 0.979], [0.750, 0.376, 0.479], [0.250, 0.920, 0.599], [0.250, 0.580, 0.099], [0.750, 0.080, 0.401], [0.750, 0.420, 0.901], [0.250, 0.657, 0.801], [0.250, 0.843, 0.301], [0.750, 0.343, 0.199], [0.750, 0.157, 0.699], [0.250, 0.017, 0.824], [0.250, 0.483, 0.324], [0.750, 0.983, 0.176], [0.750, 0.517, 0.676], [0.250, 0.247, 0.844], [0.250, 0.253, 0.344], [0.750, 0.753, 0.156], [0.750, 0.747, 0.656], [0.250, 0.188, 0.543], [0.250, 0.312, 0.043], [0.750, 0.812, 0.457], [0.750, 0.688, 0.957], [0.250, 0.386, 0.678], [0.250, 0.114, 0.178], [0.750, 0.614, 0.322], [0.750, 0.886, 0.822]], "vol_a3_per_atom": 16.8, "energy_ev_per_atom": -7.356}


No. 6
{"formula": "Sc2SiPt", "functional": "GGA-PBEsol", "state": "optimized geometry", "lattice": [[-1.243, -1.523, -2.359], [-0.723, -3.772, 2.816], [-4.037, 2.470, 0.534]], "species": ["Pt", "Sc", "Sc", "Si"], "frac_coords": [[0.500, 0.500, 0.500], [0.000, 0.500, 0.000], [0.000, 0.000, 0.500], [0.500, 0.000, 0.000]], "vol_a3_per_atom": 17.0, "energy_ev_per_atom": -7.387}


Calculated density list, top to bottom, in Mg/m³: 9.16; 8.34; 9.86; 11.01; 5.85; 7.64
D(E_F) list, top to bottom, in states/eV/atom: 0.8577; 1.0430; 0.5242; 0.2095; 0.5739; 0.5751